Record 1
An optimized crystal structure of Pm3Ga4Pt4. Source: Alexandria, functional PBE.

```
data_Pm3Ga4Pt4
_chemical_formula_sum 'Pm3 Ga4 Pt4'
_space_group_name_H-M_alt 'P 1'
_space_group_IT_number 1
_space_group_name_Hall 'P 1'
_cell_length_a 4.335
_cell_length_b 3.977
_cell_length_c 13.436
_cell_angle_alpha 98.51
_cell_angle_beta 99.28
_cell_angle_gamma 90.00
loop_
_atom_site_label
_atom_site_fract_x
_atom_site_fract_y
_atom_site_fract_z
_atom_site_occupancy
Pt1 0.097 0.597 0.195 1
Ga1 0.452 0.452 0.904 1
Ga2 0.807 0.307 0.613 1
Pm1 0.645 0.145 0.289 1
Pm2 0.355 0.855 0.711 1
Ga3 0.548 0.548 0.096 1
Pt2 0.747 0.747 0.494 1
Pt3 0.903 0.403 0.805 1
Pt4 0.253 0.253 0.506 1
Ga4 0.193 0.693 0.387 1
Pm3 0.000 0.000 0.000 1
```

Distance to the lowest polymorph of the same formula, eV per atom: 0.0572
Energy of formation, eV per atom: -0.97
V, Å³/atom: 20.55

---

Record 2
An optimized crystal structure of PmGa2Pt6. Source: Alexandria, functional PBE.

```
data_PmGa2Pt6
_chemical_formula_sum 'Pm2 Ga4 Pt12'
_space_group_name_H-M_alt 'P 1'
_space_group_IT_number 1
_space_group_name_Hall 'P 1'
_cell_length_a 8.035
_cell_length_b 8.035
_cell_length_c 8.035
_cell_angle_alpha 60.00
_cell_angle_beta 60.00
_cell_angle_gamma 60.00
loop_
_atom_site_label
_atom_site_fract_x
_atom_site_fract_y
_atom_site_fract_z
_atom_site_occupancy
Ga1 0.125 0.125 0.625 1
Pt1 0.999 0.999 0.501 1
Pt2 0.501 0.999 0.501 1
Pt3 0.749 0.251 0.749 1
Pt4 0.749 0.251 0.251 1
Pt5 0.999 0.501 0.501 1
Pt6 0.749 0.749 0.251 1
Pt7 0.999 0.501 0.999 1
Pt8 0.501 0.999 0.999 1
Ga2 0.125 0.125 0.125 1
Pm1 0.750 0.750 0.750 1
Pt9 0.251 0.749 0.251 1
Pm2 0.500 0.500 0.500 1
Pt10 0.251 0.251 0.749 1
Pt11 0.501 0.501 0.999 1
Ga3 0.625 0.125 0.125 1
Pt12 0.251 0.749 0.749 1
Ga4 0.125 0.625 0.125 1
```

Energy of formation, eV per atom: -0.42
V, Å³/atom: 20.38

---

Record 3
An optimized crystal structure of PmGa2Pt. Source: Alexandria, functional PBE.

```
data_PmGa2Pt
_chemical_formula_sum 'Pm1 Ga2 Pt1'
_space_group_name_H-M_alt 'P 1'
_space_group_IT_number 1
_space_group_name_Hall 'P 1'
_cell_length_a 4.524
_cell_length_b 4.212
_cell_length_c 4.212
_cell_angle_alpha 90.00
_cell_angle_beta 90.00
_cell_angle_gamma 90.00
loop_
_atom_site_label
_atom_site_fract_x
_atom_site_fract_y
_atom_site_fract_z
_atom_site_occupancy
Pm1 0.500 0.500 0.500 1
Ga1 0.000 0.500 0.000 1
Pt1 0.500 0.000 0.000 1
Ga2 0.000 0.000 0.500 1
```

Distance to the lowest polymorph of the same formula, eV per atom: 0.2695
Energy of formation, eV per atom: -0.63
V, Å³/atom: 20.06

---

Record 4
An optimized crystal structure of Pm3Ga8Pt3. Source: Alexandria, functional PBE.

```
data_Pm3Ga8Pt3
_chemical_formula_sum 'Pm3 Ga8 Pt3'
_space_group_name_H-M_alt 'P 1'
_space_group_IT_number 1
_space_group_name_Hall 'P 1'
_cell_length_a 4.297
_cell_length_b 8.272
_cell_length_c 8.272
_cell_angle_alpha 74.02
_cell_angle_beta 74.95
_cell_angle_gamma 74.95
loop_
_atom_site_label
_atom_site_fract_x
_atom_site_fract_y
_atom_site_fract_z
_atom_site_occupancy
Ga1 0.372 0.347 0.909 1
Pt1 0.500 0.000 0.000 1
Ga2 0.832 0.797 0.538 1
Ga3 0.168 0.203 0.462 1
Pm1 0.820 0.180 0.180 1
Ga4 0.628 0.653 0.091 1
Pt2 0.000 0.782 0.218 1
Ga5 0.168 0.462 0.203 1
Ga6 0.628 0.091 0.653 1
Pm2 0.500 0.500 0.500 1
Pt3 0.000 0.218 0.782 1
Ga7 0.832 0.538 0.797 1
Pm3 0.180 0.820 0.820 1
Ga8 0.372 0.909 0.347 1
```

Distance to the lowest polymorph of the same formula, eV per atom: 0.0238
Energy of formation, eV per atom: -0.77
V, Å³/atom: 19.09